First-principles (PBE-GGA) data for crystalline RbNbRuO6 at its relaxed geometry, as listed in the Alexandria database.

```
data_RbNbRuO6
_chemical_formula_sum 'Rb1 Nb1 Ru1 O6'
_space_group_name_H-M_alt 'P 1'
_space_group_IT_number 1
_cell_length_a 5.2189
_cell_length_b 5.4239
_cell_length_c 6.2999
_cell_angle_alpha 88.82
_cell_angle_beta 87.96
_cell_angle_gamma 61.50
loop_
_space_group_symop_operation_xyz
'x,y,z'
loop_
_atom_site_label
_atom_site_type_symbol
_atom_site_fract_x
_atom_site_fract_y
_atom_site_fract_z
_atom_site_occupancy
Rb1 Rb 0.0000 0.0000 0.0000 1
Nb1 Nb 0.3303 0.3225 0.4724 1
Ru1 Ru 0.6630 0.6772 0.5286 1
O1 O 0.3852 0.9854 0.3363 1
O2 O 0.4180 0.5786 0.6860 1
O3 O 0.6051 0.9886 0.6822 1
O4 O 0.6132 0.3975 0.3299 1
O5 O 0.9806 0.6062 0.3263 1
O6 O 0.9933 0.4146 0.6903 1
```

Results
The crystal system is triclinic. Its energy relative to the elements, uncorrected is -1.6237 eV per atom.

=====

First-principles (PBE-GGA) data for crystalline LiTbDyBi at its relaxed geometry, as listed in the Alexandria database.

```
data_LiTbDyBi
_chemical_formula_sum 'Li4 Tb4 Dy4 Bi4'
_space_group_name_H-M_alt 'F -4 3 m'
_space_group_IT_number 216
_space_group_name_Hall 'F -4 2 3'
_cell_length_a 7.5142
_cell_length_b 7.5142
_cell_length_c 7.5142
_cell_angle_alpha 90.00
_cell_angle_beta 90.00
_cell_angle_gamma 90.00
loop_
_atom_site_label
_atom_site_type_symbol
_atom_site_fract_x
_atom_site_fract_y
_atom_site_fract_z
_atom_site_occupancy
Li1 Li 0.0000 0.0000 0.0000 1
Tb1 Tb 0.2500 0.2500 0.7500 1
Dy1 Dy 0.2500 0.2500 0.2500 1
Bi1 Bi 0.0000 0.0000 0.5000 1
```

Results
The crystal system is cubic. Its energy relative to the elements is -1.20 eV/f.u.

=====

First-principles (PBE-GGA) data for crystalline AsWAu2Br at its relaxed geometry, as listed in the Alexandria database.

```
data_AsWAu2Br
_chemical_formula_sum 'As1 W1 Au2 Br1'
_space_group_name_H-M_alt 'P 4/m m m'
_space_group_IT_number 123
_space_group_name_Hall '-P 4 2'
_cell_length_a 4.9557
_cell_length_b 4.9557
_cell_length_c 5.0010
_cell_angle_alpha 90.00
_cell_angle_beta 90.00
_cell_angle_gamma 90.00
loop_
_atom_site_label
_atom_site_type_symbol
_atom_site_fract_x
_atom_site_fract_y
_atom_site_fract_z
_atom_site_occupancy
As1 As 0.0000 0.0000 0.0000 1
W1 W 0.0000 0.0000 0.5000 1
Au1 Au 0.0000 0.5000 0.0000 1
Br1 Br 0.5000 0.5000 0.5000 1
```

Results
The crystal system is tetragonal. Its energy relative to the elements, uncorrected is 1.0151 eV per atom.

=====

First-principles (PBE-GGA) data for crystalline Nd5Sm2Y2 at its relaxed geometry, as listed in the Alexandria database.

```
data_Nd5Sm2Y2
_chemical_formula_sum 'Nd5 Sm2 Y2'
_space_group_name_H-M_alt 'P -1'
_space_group_IT_number 2
_cell_length_a 3.7083
_cell_length_b 6.7101
_cell_length_c 13.3262
_cell_angle_alpha 88.69
_cell_angle_beta 82.05
_cell_angle_gamma 73.96
loop_
_space_group_symop_operation_xyz
'x,y,z'
'-x,-y,-z'
loop_
_atom_site_label
_atom_site_type_symbol
_atom_site_fract_x
_atom_site_fract_y
_atom_site_fract_z
_atom_site_occupancy
Nd1 Nd 0.0000 0.0000 0.0000 1
Nd2 Nd 0.3459 0.4352 0.8718 1
Nd3 Nd 0.3830 0.6164 0.6158 1
Sm1 Sm 0.1186 0.1635 0.5997 1
Y1 Y 0.3444 0.0985 0.2126 1
```

Results
The crystal system is triclinic. Its energy relative to the elements is 0.87 eV/f.u.

=====

First-principles (PBE-GGA) data for crystalline CsPd2Au2 at its relaxed geometry, as listed in the Alexandria database.

```
data_CsPd2Au2
_chemical_formula_sum 'Cs2 Pd4 Au4'
_space_group_name_H-M_alt 'P 4/m b m'
_space_group_IT_number 127
_space_group_name_Hall '-P 4 2ab'
_cell_length_a 8.2637
_cell_length_b 8.2637
_cell_length_c 3.1588
_cell_angle_alpha 90.00
_cell_angle_beta 90.00
_cell_angle_gamma 90.00
loop_
_atom_site_label
_atom_site_type_symbol
_atom_site_fract_x
_atom_site_fract_y
_atom_site_fract_z
_atom_site_occupancy
Cs1 Cs 0.0000 0.0000 0.0000 1
Pd1 Pd 0.1237 0.3763 0.0000 1
Au1 Au 0.1659 0.6659 0.5000 1
```

Results
The crystal system is tetragonal. Its energy relative to the elements is 0.39 eV/f.u.

=====

First-principles (PBE-GGA) data for crystalline PrCrN2 at its relaxed geometry, as listed in the Alexandria database.

```
data_PrCrN2
_chemical_formula_sum 'Pr8 Cr8 N16'
_space_group_name_H-M_alt 'C m c e'
_space_group_IT_number 64
_space_group_name_Hall '-C 2ac 2'
_cell_length_a 5.2433
_cell_length_b 11.4430
_cell_length_c 7.1894
_cell_angle_alpha 90.00
_cell_angle_beta 90.00
_cell_angle_gamma 90.00
loop_
_atom_site_label
_atom_site_type_symbol
_atom_site_fract_x
_atom_site_fract_y
_atom_site_fract_z
_atom_site_occupancy
Pr1 Pr 0.0000 0.1696 0.0804 1
Cr1 Cr 0.0000 0.0626 0.6498 1
N1 N 0.0000 0.1040 0.4020 1
N2 N 0.2500 0.1612 0.7500 1
```

Results
The crystal system is orthorhombic. Its energy relative to the elements, uncorrected is -0.8644 eV per atom.

=====

First-principles (PBE-GGA) data for crystalline SiTc2Pb at its relaxed geometry, as listed in the Alexandria database.

```
data_SiTc2Pb
_chemical_formula_sum 'Si4 Tc8 Pb4'
_space_group_name_H-M_alt 'F -4 3 m'
_space_group_IT_number 216
_space_group_name_Hall 'F -4 2 3'
_cell_length_a 6.4813
_cell_length_b 6.4813
_cell_length_c 6.4813
_cell_angle_alpha 90.00
_cell_angle_beta 90.00
_cell_angle_gamma 90.00
loop_
_atom_site_label
_atom_site_type_symbol
_atom_site_fract_x
_atom_site_fract_y
_atom_site_fract_z
_atom_site_occupancy
Si1 Si 0.0000 0.0000 0.0000 1
Tc1 Tc 0.0000 0.0000 0.5000 1
Tc2 Tc 0.2500 0.2500 0.2500 1
Pb1 Pb 0.2500 0.2500 0.7500 1
```

Results
The crystal system is cubic. Its energy relative to the elements, uncorrected is 0.6451 eV per atom.

=====

First-principles (PBE-GGA) data for crystalline Cr4Ni at its relaxed geometry, as listed in the Alexandria database.

```
data_Cr4Ni
_chemical_formula_sum 'Cr4 Ni1'
_space_group_name_H-M_alt 'P m -3 m'
_space_group_IT_number 221
_space_group_name_Hall '-P 4 2 3'
_cell_length_a 4.5245
_cell_length_b 4.5245
_cell_length_c 4.5245
_cell_angle_alpha 90.00
_cell_angle_beta 90.00
_cell_angle_gamma 90.00
loop_
_atom_site_label
_atom_site_type_symbol
_atom_site_fract_x
_atom_site_fract_y
_atom_site_fract_z
_atom_site_occupancy
Cr1 Cr 0.0000 0.0000 0.0000 1
Cr2 Cr 0.0000 0.5000 0.5000 1
Ni1 Ni 0.5000 0.5000 0.5000 1
```

Results
The crystal system is cubic. Its energy relative to the elements is 7.43 eV/f.u.

=====

First-principles (PBE-GGA) data for crystalline Tb3PmPu2Te6 at its relaxed geometry, as listed in the Alexandria database.

```
data_Tb3PmPu2Te6
_chemical_formula_sum 'Tb6 Pm2 Pu4 Te12'
_space_group_name_H-M_alt 'C 1 2/m 1'
_space_group_IT_number 12
_cell_length_a 19.2431
_cell_length_b 4.3881
_cell_length_c 8.8496
_cell_angle_alpha 90.00
_cell_angle_beta 103.64
_cell_angle_gamma 90.00
loop_
_space_group_symop_operation_xyz
'x,y,z'
'-x,-y,-z'
'-x,y,-z'
'x,-y,z'
'x+1/2,y+1/2,z'
'-x+1/2,-y+1/2,-z'
'-x+1/2,y+1/2,-z'
'x+1/2,-y+1/2,z'
loop_
_atom_site_label
_atom_site_type_symbol
_atom_site_fract_x
_atom_site_fract_y
_atom_site_fract_z
_atom_site_occupancy
Tb1 Tb 0.0000 0.0000 0.0000 1
Tb2 Tb 0.1654 0.5000 0.3338 1
Pm1 Pm 0.0000 0.0000 0.5000 1
Pu1 Pu 0.1661 0.5000 0.8328 1
Te1 Te 0.0006 0.5000 0.2450 1
Te2 Te 0.1661 0.0000 0.0856 1
Te3 Te 0.1688 0.0000 0.5823 1
```

Results
The crystal system is monoclinic. Its energy relative to the elements, uncorrected is -1.2771 eV per atom.

=====

First-principles (PBE-GGA) data for crystalline Cr2NiAg at its relaxed geometry, as listed in the Alexandria database.

```
data_Cr2NiAg
_chemical_formula_sum 'Cr2 Ni1 Ag1'
_space_group_name_H-M_alt 'P 4 m m'
_space_group_IT_number 99
_cell_length_a 3.0192
_cell_length_b 3.0192
_cell_length_c 5.9863
_cell_angle_alpha 90.00
_cell_angle_beta 90.00
_cell_angle_gamma 90.00
loop_
_space_group_symop_operation_xyz
'x,y,z'
'-y,x,z'
'-x,-y,z'
'y,-x,z'
'-x,y,z'
'y,x,z'
'x,-y,z'
'-y,-x,z'
loop_
_atom_site_label
_atom_site_type_symbol
_atom_site_fract_x
_atom_site_fract_y
_atom_site_fract_z
_atom_site_occupancy
Cr1 Cr 0.0000 0.0000 0.0000 1
Cr2 Cr 0.5000 0.5000 0.2145 1
Ni1 Ni 0.0000 0.0000 0.4273 1
Ag1 Ag 0.5000 0.5000 0.6995 1
```

Results
The crystal system is tetragonal. Its energy relative to the elements is 1.14 eV/f.u.

=====

Listing calculated total energy for the structures above in their given order: -64.7, -16.2, -20.8, -45.3, -17.4, -34.5, -27.3, -36.8, -81.5, -26.7 eV/f.u..